First-principles (PBE) data for a geometry-optimized Cu4Ag5 structure, as listed in OQMD.

CIF file:
```
data_Cu4Ag5
_chemical_formula_sum 'Cu8 Ag10'
_space_group_name_H-M_alt 'I m m 2'
_space_group_IT_number 44
_cell_length_a 2.844
_cell_length_b 8.459
_cell_length_c 11.438
_cell_angle_alpha 90.00
_cell_angle_beta 90.00
_cell_angle_gamma 90.00
loop_
_space_group_symop_operation_xyz
'x,y,z'
'-x,-y,z'
'-x,y,z'
'x,-y,z'
'x+1/2,y+1/2,z+1/2'
'-x+1/2,-y+1/2,z+1/2'
'-x+1/2,y+1/2,z+1/2'
'x+1/2,-y+1/2,z+1/2'
loop_
_atom_site_label
_atom_site_type_symbol
_atom_site_fract_x
_atom_site_fract_y
_atom_site_fract_z
Cu1 Cu 0.000 0.000 0.000
Cu2 Cu 0.000 0.000 0.344
Cu3 Cu 0.000 0.344 0.350
Ag1 Ag 0.000 0.000 0.686
Ag2 Ag 0.000 0.329 0.001
Ag3 Ag 0.000 0.335 0.683
```

Results
- Relative energy among the computed polymorphs: 4.6 kJ per mole of atoms
- ΔH_f (0 K): 86 meV per atom
- Total DFT energy (no corrections): -3.135 eV/atom
- ρ: 9578 kg/m3